# BaSr5Hg2

An optimized crystal structure of BaSr5Hg2 (PBE, Alexandria via LeMat-Bulk).

final energy = -1.5908 eV/atom
DFT formation energy = -1.8 eV/f.u.

```
data_BaSr5Hg2
_chemical_formula_sum 'Ba2 Sr10 Hg4'
_cell_length_a 4.779
_cell_length_b 8.927
_cell_length_c 17.784
_cell_angle_alpha 90.00
_cell_angle_beta 90.00
_cell_angle_gamma 90.00
_symmetry_space_group_name_H-M 'I m m m'
_symmetry_Int_Tables_number 71
_symmetry_space_group_name_Hall '-I 2 2'
loop_
_atom_site_label
_atom_site_type_symbol
_atom_site_fract_x
_atom_site_fract_y
_atom_site_fract_z
Ba1 Ba 0.000 0.000 0.000
Sr1 Sr 0.000 0.253 0.342
Sr2 Sr 0.000 0.500 0.000
Hg1 Hg 0.000 0.500 0.194
```